The following is a DFT calculation (PBE) of crystalline CaSiHg2 at its relaxed geometry.

As for the total energy: -2.07 eV per atom. The calculation puts the uncorrected formation energy at -0.064 eV per atom. The total moment comes out at 0.0 μB/cell. Its calculated volume is 93 Å³/f.u.

It has space group Pmmm (No. 47), with a = 3.681 Å, b = 3.847 Å, c = 6.590 Å, α = 90.00°, β = 90.00° and γ = 90.00°. The inequivalent atoms are Ca at (0.000, 0.000, 0.000), Si at (0.000, 0.000, 0.500) and Hg at (0.500, 0.500, 0.271).